No. 1
SrCrRu2: single point on PBEsol structure, SCAN.

abc: 3.139 3.139 7.260
angles: 90.00 90.00 90.00
Space group P4mm (No. 99)
Inequivalent atoms, fractional coordinates:
Sr1 0.000 0.000 0.000 [1 per cell]
Cr1 0.500 0.500 0.352 [1 per cell]
Ru1 0.000 0.000 0.481 [1 per cell]
Ru2 0.500 0.500 0.682 [1 per cell]

Output
**Electronic total energy**: -26.891 eV/atom
**Distance to the lowest polymorph of the same formula**: 245 meV per atom

***

No. 2
SrCrRu2: single point on PBEsol structure, SCAN.

abc: 2.998 2.998 7.433
angles: 90.00 90.00 90.00
Space group P4/mmm (No. 123)
Inequivalent atoms, fractional coordinates:
Sr1 0.000 0.000 0.000 [1 per cell]
Cr1 0.000 0.000 0.500 [1 per cell]
Ru1 0.500 0.500 0.320 [2 per cell]

Output
**Electronic total energy**: -27.136 eV/atom
**Distance to the lowest polymorph of the same formula**: 0 meV per atom

***

No. 3
Ta2CrRu: single point on PBEsol structure, SCAN.

abc: 3.088 3.088 6.220
angles: 90.00 90.00 90.00
Space group P4/mmm (No. 123)
Inequivalent atoms, fractional coordinates:
Ta1 0.000 0.000 0.240 [2 per cell]
Cr1 0.500 0.500 0.000 [1 per cell]
Ru1 0.500 0.500 0.500 [1 per cell]

Output
**Electronic total energy**: -46.969 eV/atom
**Distance to the lowest polymorph of the same formula**: 0 meV per atom

***

No. 4
Ta2CrRu: single point on PBEsol structure, SCAN.

abc: 2.796 4.348 5.040
angles: 90.00 101.32 90.00
Space group Pm (No. 6)
Inequivalent atoms, fractional coordinates:
Ta1 0.000 0.000 0.000 [1 per cell]
Ta2 0.270 0.500 0.720 [1 per cell]
Cr1 0.768 0.500 0.218 [1 per cell]
Ru1 0.519 0.000 0.487 [1 per cell]

Output
**Electronic total energy**: -46.678 eV/atom
**Distance to the lowest polymorph of the same formula**: 291 meV per atom

***

No. 5
Ta2CrRu: single point on PBEsol structure, SCAN.

abc: 2.8787 2.8787 25.7126
angles: 90.00 90.00 120.00
Space group R3m (No. 160, hexagonal axes)
Inequivalent atoms, fractional coordinates:
Ta1 0.0000 0.0000 0.0000 [3 per cell]
Ta2 0.0000 0.0000 0.2390 [3 per cell]
Cr1 0.0000 0.0000 0.4917 [3 per cell]
Ru1 0.0000 0.0000 0.7529 [3 per cell]

Output
**Electronic total energy**: -46.336 eV/atom
**Distance to the lowest polymorph of the same formula**: 633 meV per atom

***

No. 6
TaCrRu2: single point on PBEsol structure, SCAN.

abc: 2.942 4.404 8.601
angles: 90.00 90.00 90.00
Space group Immm (No. 71)
Inequivalent atoms, fractional coordinates:
Ta1 0.000 0.000 0.000 [2 per cell]
Cr1 0.000 0.000 0.500 [2 per cell]
Ru1 0.000 0.500 0.225 [4 per cell]

Output
**Electronic total energy**: -38.662 eV/atom